1.
# meta-GGA SCAN LiAsRh, single point on PBEsol structure
# - M_tot: 0.0 μB/f.u.
# - DOS at the Fermi energy: 2.53 states/eV/cell
# - Formation energy from the elements: -0.60 eV/atom
# - VASP energy: -19.38 eV/atom
data_LiAsRh
_cell_length_a 3.1670
_cell_length_b 3.1670
_cell_length_c 7.9471
_cell_angle_alpha 90.00
_cell_angle_beta 90.00
_cell_angle_gamma 90.00
_space_group_name_H-M_alt 'I 4 m m'
_space_group_IT_number 107
_space_group_name_Hall 'I 4 -2'
loop_
_atom_site_label
_atom_site_fract_x
_atom_site_fract_y
_atom_site_fract_z
Li1 0.0000 0.0000 0.0000
As1 0.0000 0.0000 0.3258
Rh1 0.0000 0.0000 0.6772



2.
# meta-GGA SCAN LiAs2Rh, single point on PBEsol structure
# - M_tot: 0.0 μB/f.u.
# - DOS at the Fermi energy: 3.29 states/eV/cell
# - Formation energy from the elements: -0.41 eV/atom
# - VASP energy: -19.55 eV/atom
data_LiAs2Rh
_cell_length_a 3.0676
_cell_length_b 3.0676
_cell_length_c 23.2789
_cell_angle_alpha 90.00
_cell_angle_beta 90.00
_cell_angle_gamma 120.00
_space_group_name_H-M_alt 'R -3 m'
_space_group_IT_number 166
_space_group_name_Hall '-R 3 2"'
loop_
_atom_site_label
_atom_site_fract_x
_atom_site_fract_y
_atom_site_fract_z
Li1 0.0000 0.0000 0.0000
As1 0.0000 0.0000 0.2440
Rh1 0.0000 0.0000 0.5000



3.
# meta-GGA SCAN LiAs2Rh, single point on PBEsol structure
# - M_tot: 0.0 μB/f.u.
# - DOS at the Fermi energy: 1.32 states/eV/cell
# - Formation energy from the elements: -0.42 eV/atom
# - VASP energy: -19.55 eV/atom
data_LiAs2Rh
_cell_length_a 2.8411
_cell_length_b 4.0572
_cell_length_c 5.4061
_cell_angle_alpha 90.00
_cell_angle_beta 90.00
_cell_angle_gamma 90.00
_space_group_name_H-M_alt 'P m m m'
_space_group_IT_number 47
loop_
_space_group_symop_operation_xyz
'x,y,z'
'-x,-y,-z'
'-x,-y,z'
'x,y,-z'
'x,-y,-z'
'-x,y,z'
'-x,y,-z'
'x,-y,z'
loop_
_atom_site_label
_atom_site_fract_x
_atom_site_fract_y
_atom_site_fract_z
Li1 0.0000 0.0000 0.0000
As1 0.5000 0.5000 0.2437
Rh1 0.5000 0.0000 0.5000



4.
# meta-GGA SCAN LiAsRh2, single point on PBEsol structure
# - M_tot: 0.0 μB/f.u.
# - DOS at the Fermi energy: 2.70 states/eV/cell
# - Formation energy from the elements: -0.29 eV/atom
# - VASP energy: -22.82 eV/atom
data_LiAsRh2
_cell_length_a 2.7598
_cell_length_b 4.1374
_cell_length_c 4.7790
_cell_angle_alpha 90.00
_cell_angle_beta 91.92
_cell_angle_gamma 90.00
_space_group_name_H-M_alt 'P 1 2/m 1'
_space_group_IT_number 10
loop_
_space_group_symop_operation_xyz
'x,y,z'
'-x,-y,-z'
'-x,y,-z'
'x,-y,z'
loop_
_atom_site_label
_atom_site_fract_x
_atom_site_fract_y
_atom_site_fract_z
Li1 0.0000 0.0000 0.0000
As1 0.5000 0.0000 0.5000
Rh1 0.2731 0.5000 0.7480